Entry 1:
Computed, not measured: crystalline CaScAs2H at its relaxed geometry at the GGA-PBE level of DFT.

## Properties
Total energy ... -20.787 eV for the cell shown

Cell lengths 5.464, 5.464, 3.617 Å; angles 90.00, 90.00, 90.00 degrees
Space group P4/mmm (No. 123)
Asymmetric unit:
Ca  0.000  0.000  0.000 (multiplicity 1)
Sc  0.500  0.500  0.500 (multiplicity 1)
As  0.000  0.500  0.000 (multiplicity 2)
H  0.000  0.000  0.500 (multiplicity 1)


Entry 2:
Computed, not measured: crystalline NdThTeAs at its relaxed geometry at the GGA-PBE level of DFT.

## Properties
Formation energy without anion corrections ... -1.39 eV per atom

Cell lengths 4.2677, 4.2677, 22.7304 Å; angles 90.00, 90.00, 120.00 degrees
Space group R3m (No. 160, hexagonal axes)
Asymmetric unit:
Nd  0.0000  0.0000  0.0000 (multiplicity 3)
Th  0.0000  0.0000  0.8094 (multiplicity 3)
Te  0.0000  0.0000  0.2368 (multiplicity 3)
As  0.0000  0.0000  0.4061 (multiplicity 3)


Entry 3:
Computed, not measured: crystalline Ho12InGa6 at its relaxed geometry at the GGA-PBE level of DFT.

## Properties
ΔE_f ... -37.7 kJ per mole of atoms

Cell lengths 10.023, 10.023, 10.023 Å; angles 90.00, 90.00, 90.00 degrees
Space group Im-3 (No. 204)
Asymmetric unit:
Ho  0.000  0.189  0.293 (multiplicity 24)
In  0.000  0.000  0.000 (multiplicity 2)
Ga  0.000  0.377  0.500 (multiplicity 12)


no.,D(E_F) (states/eV/cell)
1,5.54
2,3.01
3,31.29